No. 1
! NaNp2Te4 | the Alexandria database | PBE | relaxed; values from VASP
! energy above the most stable polymorph in this dataset: 0.29 eV per formula unit
! volume: 480.23 Å³ per cell
! total magnetic moment: 14.0 Bohr magnetons per cell
! density: 7.0 g/cm3
! N(E_F): 21.93 states/eV/f.u.
&SYSTEM
  ibrav = 0, nat = 14, ntyp = 3
/
ATOMIC_SPECIES
Te 127.60 Te.upf
Np 237.00 Np.upf
Na 22.99 Na.upf
ATOMIC_POSITIONS angstrom
Te 3.821 -0.273 -0.823
Np 14.154 -3.387 -4.867
Np 1.032 -0.230 -1.924
Np 8.567 -3.102 -4.913
Te -0.113 -2.185 0.200
Te 11.364 -3.344 -5.967
Te 13.500 -0.983 -3.098
Na 11.347 -2.908 -1.219
Na 3.839 -0.709 -5.572
Te 5.753 -2.842 -3.659
Te 7.523 -2.574 0.264
Np 6.619 -0.515 -1.877
Te 9.432 -0.775 -3.132
Te 1.686 -2.634 -3.693
CELL_PARAMETERS angstrom
-0.226 -4.369 0.400
0.139 1.531 -7.318
15.273 -0.779 0.127

No. 2
! AcSnN2 | the Alexandria database | PBE | relaxed; values from VASP
! raw total energy: -23.48 eV for the cell shown
! volume: 75.63 Å³ per cell
! total magnetic moment: 0.6 Bohr magnetons per cell
! density: 8.2 g/cm3
! N(E_F): 2.80 states/eV/f.u.
&SYSTEM
  ibrav = 0, nat = 4, ntyp = 3
/
ATOMIC_SPECIES
Ac 227.00 Ac.upf
N 14.01 N.upf
Sn 118.71 Sn.upf
ATOMIC_POSITIONS angstrom
Ac 0.000 0.000 0.000
N -3.637 -0.981 3.242
Sn -3.926 1.300 3.423
N -4.215 3.581 3.603
CELL_PARAMETERS angstrom
-0.212 2.537 2.471
-2.559 2.450 -0.188
-5.080 -2.387 4.563

No. 3
! Ca2GaSiPd6 | the Alexandria database | PBE | relaxed; values from VASP
! raw total energy: -49.99 eV for the cell shown
! volume: 193.03 Å³ per cell
! total magnetic moment: 0.0 Bohr magnetons per cell
! density: 7.0 g/cm3
! N(E_F): 2.71 states/eV/f.u.
&SYSTEM
  ibrav = 0, nat = 10, ntyp = 4
/
ATOMIC_SPECIES
Pd 106.42 Pd.upf
Si 28.09 Si.upf
Ca 40.08 Ca.upf
Ga 69.72 Ga.upf
ATOMIC_POSITIONS angstrom
Pd 3.044 2.675 2.284
Pd 7.929 3.608 5.077
Si 2.890 3.053 -0.098
Ca 2.937 6.087 1.766
Pd 6.252 5.809 2.314
Pd 1.366 4.876 -0.479
Ga 0.000 0.000 0.000
Pd 4.347 4.539 3.910
Pd 4.948 3.945 0.688
Ca 6.359 2.397 2.832
CELL_PARAMETERS angstrom
6.310 -0.407 0.805
-0.530 6.513 -1.002
3.516 2.377 4.795